# 1
Crystalline AlHSe2 at its relaxed geometry, computed with PBE.

a = 7.3047 Å, b = 7.3047 Å, c = 5.8170 Å
α = 110.80°, β = 110.80°, γ = 114.78°
Element x y z (fractional)
1 Al 0.0281 0.9719 0.7500
2 Al 0.9719 0.0281 0.2500
3 H 0.1469 0.8531 0.2500
4 H 0.8531 0.1469 0.7500
5 Se 0.1084 0.3329 0.7417
6 Se 0.3329 0.1084 0.2417
7 Se 0.6671 0.8916 0.7583
8 Se 0.8916 0.6671 0.2583

Output
Its crystal system is monoclinic. Its symmetry is C2/c. The calculation puts the energy relative to the lowest polymorph listed for this composition at 148.8 meV per atom.

---

# 2
Crystalline MnZn at its relaxed geometry, computed with PBE.

a = 5.1185 Å, b = 5.1185 Å, c = 4.5895 Å
α = 115.96°, β = 115.96°, γ = 30.88°
Element x y z (fractional)
1 Mn 0.1261 0.1261 0.3068
2 Mn 0.8739 0.8739 0.6932
3 Zn 0.3748 0.3748 0.1993
4 Zn 0.6252 0.6252 0.8007

Output
The value obtained for the total energy is -20.43 eV per cell. Its crystal system is monoclinic. Its symmetry is C2/m.

---

# 3
Crystalline Ba2Sr4Sb3H2 at its relaxed geometry, computed with PBE.

a = 13.9984 Å, b = 13.9984 Å, c = 13.9984 Å
α = 158.67°, β = 158.67°, γ = 30.34°
Element x y z (fractional)
1 Ba 0.1997 0.1997 0.0000
2 Ba 0.8003 0.8003 0.0000
3 Sr 0.0794 0.5794 0.5000
4 Sr 0.4206 0.9206 0.5000
5 Sr 0.5794 0.0794 0.5000
6 Sr 0.9206 0.4206 0.5000
7 Sb 0.3325 0.3325 0.0000
8 Sb 0.5000 0.5000 0.0000
9 Sb 0.6675 0.6675 0.0000
10 H 0.0938 0.0938 0.0000
11 H 0.9062 0.9062 0.0000

Output
The value obtained for the total energy is -39.27 eV per cell. Its crystal system is tetragonal. Its symmetry is I4/mmm.

---

# 4
Crystalline Ag3GeAu2 at its relaxed geometry, computed with PBE.

a = 8.2429 Å, b = 8.2429 Å, c = 5.9370 Å
α = 110.70°, β = 110.70°, γ = 36.23°
Element x y z (fractional)
1 Ag 0.1834 0.8166 0.7500
2 Ag 0.1881 0.1889 0.9402
3 Ag 0.1889 0.1881 0.4402
4 Ag 0.8111 0.8119 0.5598
5 Ag 0.8119 0.8111 0.0598
6 Ag 0.8166 0.1834 0.2500
7 Ge 0.3074 0.6926 0.2500
8 Ge 0.6926 0.3074 0.7500
9 Au 0.3568 0.3592 0.8573
10 Au 0.3592 0.3568 0.3573
11 Au 0.6408 0.6432 0.6427
12 Au 0.6432 0.6408 0.1427

Output
The value obtained for the total energy is -38.71 eV per cell. Its crystal system is monoclinic. Its symmetry is C2/c.

---

# 5
Crystalline ErCrB14 at its relaxed geometry, computed with PBE.

a = 7.3254 Å, b = 7.3254 Å, c = 7.3254 Å
α = 132.97°, β = 86.65°, γ = 112.14°
Element x y z (fractional)
1 Er 0.3784 0.1284 0.2500
2 Er 0.6216 0.8716 0.7500
3 Cr 0.0000 0.0000 0.5000
4 Cr 0.0000 0.5000 0.0000
5 B 0.0001 0.1295 0.8706
6 B 0.9999 0.8705 0.1294
7 B 0.0307 0.2038 0.3307
8 B 0.0307 0.7000 0.8268
9 B 0.0870 0.6712 0.4157
10 B 0.1987 0.5312 0.6675
11 B 0.2257 0.5019 0.4040
12 B 0.2257 0.8218 0.7238
13 B 0.2411 0.8705 0.3706
14 B 0.2445 0.3288 0.9157
15 B 0.3638 0.5312 0.8325
16 B 0.3732 0.2038 0.6732
17 B 0.3732 0.7000 0.1693
18 B 0.4020 0.1782 0.9040
19 B 0.4020 0.4981 0.2238
20 B 0.5980 0.5019 0.7762
21 B 0.5980 0.8218 0.0960
22 B 0.6268 0.3000 0.8307
23 B 0.6268 0.7962 0.3268
24 B 0.6362 0.4688 0.1675
25 B 0.7555 0.6712 0.0843
26 B 0.7589 0.1295 0.6294
27 B 0.7743 0.1782 0.2762
28 B 0.7743 0.4981 0.5960
29 B 0.8013 0.4688 0.3325
30 B 0.9130 0.3288 0.5843
31 B 0.9693 0.3000 0.1732
32 B 0.9693 0.7962 0.6693

Output
The value obtained for the total energy is -220.51 eV per cell. Its crystal system is orthorhombic. Its symmetry is Imma.

---

# 6
Crystalline Ac2CoPN at its relaxed geometry, computed with PBE.

a = 6.4962 Å, b = 4.0095 Å, c = 8.6881 Å
α = 90.00°, β = 109.36°, γ = 90.00°
Element x y z (fractional)
1 Ac 0.2140 0.2500 0.3935
2 Ac 0.2295 0.2500 0.9658
3 Ac 0.7705 0.7500 0.0342
4 Ac 0.7860 0.7500 0.6065
5 Co 0.4852 0.7500 0.2528
6 Co 0.5148 0.2500 0.7472
7 P 0.3262 0.7500 0.7023
8 P 0.6738 0.2500 0.2977
9 N 0.1776 0.7500 0.1741
10 N 0.8224 0.2500 0.8259

Output
Its uncorrected formation energy is -0.945 eV/atom. Its crystal system is monoclinic. Its symmetry is P2_1/m.

---

# 7
Crystalline Nd3SnPb at its relaxed geometry, computed with PBE.

a = 9.9203 Å, b = 9.9203 Å, c = 6.7067 Å
α = 90.00°, β = 90.00°, γ = 150.44°
Element x y z (fractional)
1 Nd 0.0000 0.0000 0.0000
2 Nd 0.0000 0.0000 0.5000
3 Nd 0.1876 0.8124 0.7500
4 Nd 0.3964 0.6036 0.7500
5 Nd 0.6036 0.3964 0.2500
6 Nd 0.8124 0.1876 0.2500
7 Sn 0.4256 0.5744 0.2500
8 Sn 0.5744 0.4256 0.7500
9 Pb 0.1978 0.8022 0.2500
10 Pb 0.8022 0.1978 0.7500

Output
The value obtained for the total energy is -49.61 eV per cell. Its crystal system is orthorhombic. Its symmetry is Cmcm.

---

# 8
Crystalline LiCo3Os at its relaxed geometry, computed with PBE.

a = 3.8584 Å, b = 3.8584 Å, c = 3.8584 Å
α = 90.00°, β = 90.00°, γ = 90.00°
Element x y z (fractional)
1 Li 0.0000 0.0000 0.0000
2 Co 0.0000 0.0000 0.5000
3 Co 0.0000 0.5000 0.0000
4 Co 0.5000 0.0000 0.0000
5 Os 0.5000 0.5000 0.5000

Output
Its crystal system is cubic. Its symmetry is Pm-3m. The calculation puts the energy relative to the lowest polymorph listed for this composition at 0.0 meV per atom.

---

# 9
Crystalline SrSiSb at its relaxed geometry, computed with PBE.

a = 6.8248 Å, b = 6.8248 Å, c = 6.8248 Å
α = 143.42°, β = 92.55°, γ = 98.77°
Element x y z (fractional)
1 Sr 0.0000 0.0000 0.0000
2 Sr 0.5000 0.0000 0.5000
3 Si 0.4387 0.6887 0.7500
4 Si 0.5613 0.3113 0.2500
5 Sb 0.1401 0.3901 0.7500
6 Sb 0.8599 0.6099 0.2500

Output
Its uncorrected formation energy is -0.431 eV/atom. Its crystal system is orthorhombic. Its symmetry is Imma. The calculation puts the energy relative to the lowest polymorph listed for this composition at 47.2 meV per atom.

---

# 10
Crystalline Na3B4C2 at its relaxed geometry, computed with PBE.

a = 7.8029 Å, b = 7.8029 Å, c = 10.0236 Å
α = 120.27°, β = 120.27°, γ = 20.68°
Element x y z (fractional)
1 Na 0.0000 0.0000 0.0000
2 Na 0.1650 0.1650 0.4965
3 Na 0.3353 0.3353 0.0026
4 Na 0.5000 0.5000 0.5000
5 Na 0.6647 0.6647 0.9974
6 Na 0.8350 0.8350 0.5035
7 B 0.0208 0.0208 0.7517
8 B 0.1324 0.1324 0.7497
9 B 0.2924 0.2924 0.2512
10 B 0.3627 0.3627 0.7500
11 B 0.6373 0.6373 0.2500
12 B 0.7076 0.7076 0.7488
13 B 0.8676 0.8676 0.2503
14 B 0.9792 0.9792 0.2483
15 C 0.1918 0.1918 0.2515
16 C 0.4679 0.4679 0.7523
17 C 0.5321 0.5321 0.2477
18 C 0.8082 0.8082 0.7485

Output
Its crystal system is monoclinic. Its symmetry is C2/m. The calculation puts the energy relative to the lowest polymorph listed for this composition at 1.5 meV per atom.

---

# 11
Crystalline Nd2Ho7Er3 at its relaxed geometry, computed with PBE.

a = 6.3079 Å, b = 3.5026 Å, c = 17.3657 Å
α = 90.00°, β = 96.17°, γ = 90.00°
Element x y z (fractional)
1 Nd 0.0599 0.0000 0.1734
2 Nd 0.9401 0.0000 0.8266
3 Ho 0.0000 0.5000 0.5000
4 Ho 0.2280 0.0000 0.6666
5 Ho 0.2564 0.0000 0.9988
6 Ho 0.2755 0.5000 0.3373
7 Ho 0.7245 0.5000 0.6627
8 Ho 0.7436 0.0000 0.0012
9 Ho 0.7720 0.0000 0.3334
10 Er 0.4517 0.5000 0.8427
11 Er 0.5000 0.0000 0.5000
12 Er 0.5483 0.5000 0.1573

Output
Its crystal system is monoclinic. Its symmetry is P2/m. The calculation puts the energy relative to the lowest polymorph listed for this composition at 0.0 meV per atom.

---

# 12
Crystalline Tb5TmCu6 at its relaxed geometry, computed with PBE.

a = 7.8014 Å, b = 7.8014 Å, c = 6.8902 Å
α = 90.00°, β = 90.00°, γ = 143.15°
Element x y z (fractional)
1 Tb 0.0000 0.0000 0.0000
2 Tb 0.3327 0.6673 0.0000
3 Tb 0.3340 0.6660 0.5000
4 Tb 0.6660 0.3340 0.5000
5 Tb 0.6673 0.3327 0.0000
6 Tm 0.0000 0.0000 0.5000
7 Cu 0.1647 0.8353 0.2519
8 Cu 0.1647 0.8353 0.7481
9 Cu 0.5000 0.5000 0.2549
10 Cu 0.5000 0.5000 0.7451
11 Cu 0.8353 0.1647 0.2519
12 Cu 0.8353 0.1647 0.7481

Output
The value obtained for the total energy is -55.20 eV per cell. Its crystal system is orthorhombic. Its symmetry is Cmmm.

---

# 13
Crystalline HgAs2Ru at its relaxed geometry, computed with PBE.

a = 9.2861 Å, b = 9.2861 Å, c = 9.2861 Å
α = 19.27°, β = 19.27°, γ = 19.27°
Element x y z (fractional)
1 Hg 0.0000 0.0000 0.0000
2 As 0.2322 0.2322 0.2322
3 As 0.4774 0.4774 0.4774
4 Ru 0.7517 0.7517 0.7517

Output
The value obtained for the total energy is -17.95 eV per cell. Its crystal system is trigonal. Its symmetry is R3m.

---

# 14
Crystalline CsGaPO2 at its relaxed geometry, computed with PBE.

a = 4.1679 Å, b = 4.1679 Å, c = 4.9273 Å
α = 90.00°, β = 90.00°, γ = 90.00°
Element x y z (fractional)
1 Cs 0.0000 0.0000 0.0000
2 Ga 0.5000 0.5000 0.5000
3 P 0.5000 0.5000 0.0000
4 O 0.0000 0.5000 0.5000
5 O 0.5000 0.0000 0.5000

Output
Its uncorrected formation energy is -0.178 eV/atom. Its crystal system is tetragonal. Its symmetry is P4/mmm. The calculation puts the energy relative to the lowest polymorph listed for this composition at 0.0 meV per atom.

---

# 15
Crystalline LuPuThAl at its relaxed geometry, computed with PBE.

a = 5.3176 Å, b = 5.3176 Å, c = 5.3176 Å
α = 60.00°, β = 60.00°, γ = 60.00°
Element x y z (fractional)
1 Lu 0.0000 0.0000 0.0000
2 Pu 0.2500 0.2500 0.2500
3 Th 0.7500 0.7500 0.7500
4 Al 0.5000 0.5000 0.5000

Output
The value obtained for the total energy is -29.71 eV per cell. Its crystal system is cubic. Its symmetry is F-43m.

---

# 16
Crystalline TmScCdCo at its relaxed geometry, computed with PBE.

a = 4.8492 Å, b = 4.8492 Å, c = 4.8492 Å
α = 60.00°, β = 60.00°, γ = 60.00°
Element x y z (fractional)
1 Tm 0.0000 0.0000 0.0000
2 Sc 0.5000 0.5000 0.5000
3 Cd 0.2500 0.2500 0.2500
4 Co 0.7500 0.7500 0.7500

Output
Its crystal system is cubic. Its symmetry is F-43m. The calculation puts the energy relative to the lowest polymorph listed for this composition at 144.3 meV per atom.

---

# 17
Crystalline Ca2MgC at its relaxed geometry, computed with PBE.

a = 6.5150 Å, b = 6.5150 Å, c = 6.5150 Å
α = 106.06°, β = 106.06°, γ = 116.53°
Element x y z (fractional)
1 Ca 0.0200 0.6250 0.8950
2 Ca 0.3750 0.2700 0.3950
3 Ca 0.7300 0.1250 0.1050
4 Ca 0.8750 0.9800 0.6050
5 Mg 0.2500 0.7500 0.5000
6 Mg 0.5000 0.5000 0.0000
7 C 0.0000 0.0000 0.0000
8 C 0.7500 0.2500 0.5000

Output
Its crystal system is tetragonal. Its symmetry is I-42d. The calculation puts the energy relative to the lowest polymorph listed for this composition at 0.0 meV per atom.